# YAg2Mo (PBE-GGA, optimized geometry)
data_YAg2Mo
_chemical_formula_sum 'Y2 Ag4 Mo2'
_space_group_name_H-M_alt 'C 1 2/m 1'
_space_group_IT_number 12
_space_group_name_Hall '-C 2y'
_cell_length_a 10.508
_cell_length_b 2.978
_cell_length_c 5.155
_cell_angle_alpha 90.00
_cell_angle_beta 101.22
_cell_angle_gamma 90.00
loop_
_atom_site_label
_atom_site_fract_x
_atom_site_fract_y
_atom_site_fract_z
Y1 0.000 0.000 0.000
Ag1 0.239 0.000 0.731
Mo1 0.000 0.500 0.500
# Total magnetization, μB/cell: 0.00
# E_form, eV per atom: 0.3786
# ΔE to the lowest computed polymorph, eV/atom: 0.085